## Sr2CaTe2 (PBE)

Data for a geometry-optimized Sr2CaTe2 structure.

D(E_F) in states/eV per cell: 0.197
Total magnetization in μB per formula unit: 0.0
Space-group type: No. 127
ΔE_f (raw) in eV/atom: -1.292
Calculated total energy in eV per cell: -36.2

Cell and atoms, written as POSCAR:
```
Sr2CaTe2
1.0
8.7629 0.0000 0.0000
0.0000 8.7629 0.0000
0.0000 0.0000 4.5838
Sr Ca Te
4 2 4
Cartesian
1.3580 3.0234 0.0000
3.0234 7.4049 0.0000
5.7394 1.3580 0.0000
7.4049 5.7394 0.0000
0.0000 0.0000 2.2919
4.3814 4.3814 2.2919
1.3474 5.7289 2.2919
3.0340 1.3474 2.2919
5.7289 7.4155 2.2919
7.4155 3.0340 2.2919
```